# PmDyBeZn PBE relaxed
# D(E_F) ... 1.17 states/eV/atom
# Uncorrected energy ... -58.60 eV for the cell shown
# Theoretical density ... 7.2 g cm⁻³
data_PmDyBeZn
_chemical_formula_sum 'Pm4 Dy4 Be4 Zn4'
_symmetry_space_group_name_H-M 'F -4 3 m'
_symmetry_Int_Tables_number 216
_symmetry_space_group_name_Hall 'F -4 2 3'
_cell_length_a 7.079
_cell_length_b 7.079
_cell_length_c 7.079
_cell_angle_alpha 90.00
_cell_angle_beta 90.00
_cell_angle_gamma 90.00
loop_
_atom_site_label
_atom_site_type_symbol
_atom_site_fract_x
_atom_site_fract_y
_atom_site_fract_z
Pm1 Pm 0.000 0.000 0.000
Dy1 Dy 0.000 0.000 0.500
Be1 Be 0.250 0.250 0.250
Zn1 Zn 0.250 0.250 0.750

***

# CrCuNiRu PBE relaxed
# D(E_F) ... 1.23 states/eV/atom
# Uncorrected energy ... -112.27 eV for the cell shown
# Theoretical density ... 9.3 g cm⁻³
data_CrCuNiRu
_chemical_formula_sum 'Cr4 Cu4 Ni4 Ru4'
_symmetry_space_group_name_H-M 'F -4 3 m'
_symmetry_Int_Tables_number 216
_symmetry_space_group_name_Hall 'F -4 2 3'
_cell_length_a 5.822
_cell_length_b 5.822
_cell_length_c 5.822
_cell_angle_alpha 90.00
_cell_angle_beta 90.00
_cell_angle_gamma 90.00
loop_
_atom_site_label
_atom_site_type_symbol
_atom_site_fract_x
_atom_site_fract_y
_atom_site_fract_z
Cr1 Cr 0.000 0.000 0.000
Cu1 Cu 0.000 0.000 0.500
Ni1 Ni 0.250 0.250 0.750
Ru1 Ru 0.250 0.250 0.250

***

# KInSCl2 PBE relaxed
# D(E_F) ... 0.55 states/eV/atom
# E_form (uncorrected) ... -1.055 eV/atom
# E above lowest polymorph ... 0 meV per atom
# Theoretical density ... 2.9 g cm⁻³
data_KInSCl2
_chemical_formula_sum 'K1 In1 S1 Cl2'
_symmetry_space_group_name_H-M 'P 4/m m m'
_symmetry_Int_Tables_number 123
_symmetry_space_group_name_Hall '-P 4 2'
_cell_length_a 5.396
_cell_length_b 5.396
_cell_length_c 4.985
_cell_angle_alpha 90.00
_cell_angle_beta 90.00
_cell_angle_gamma 90.00
loop_
_atom_site_label
_atom_site_type_symbol
_atom_site_fract_x
_atom_site_fract_y
_atom_site_fract_z
K1 K 0.000 0.000 0.000
In1 In 0.500 0.500 0.500
S1 S 0.500 0.500 0.000
Cl1 Cl 0.000 0.500 0.500

***

# La2ReIr PBE relaxed
# D(E_F) ... 1.20 states/eV/atom
# E above lowest polymorph ... 555 meV per atom
# Theoretical density ... 11.0 g cm⁻³
data_La2ReIr
_chemical_formula_sum 'La6 Re3 Ir3'
_symmetry_space_group_name_H-M 'R -3 m'
_symmetry_Int_Tables_number 166
_symmetry_space_group_name_Hall '-R 3 2"'
_cell_length_a 3.7317
_cell_length_b 3.7317
_cell_length_c 24.6832
_cell_angle_alpha 90.00
_cell_angle_beta 90.00
_cell_angle_gamma 120.00
loop_
_atom_site_label
_atom_site_type_symbol
_atom_site_fract_x
_atom_site_fract_y
_atom_site_fract_z
La1 La 0.0000 0.0000 0.2454
Re1 Re 0.0000 0.0000 0.0000
Ir1 Ir 0.0000 0.0000 0.5000